Entry from Alexandria: a geometry-optimized La4Ag2Rh structure (PBE).

Calculated values
The theoretical density comes out at 6.990 g/cm³. The spin magnetization is 0.00 Bohr magnetons per cell. The calculation puts the relative energy among the computed polymorphs at 0 meV per atom. As for the formation energy: -266 meV/atom.

a b c (Å): 8.993 8.993 8.993
angles (deg): 34.46 34.46 34.46
Atoms (fractional coordinates):
La 0.117 0.117 0.117
La 0.370 0.370 0.370
La 0.630 0.630 0.630
La 0.883 0.883 0.883
Ag 0.243 0.243 0.243
Ag 0.757 0.757 0.757
Rh 0.000 0.000 0.000


Entry from Alexandria: a geometry-optimized Zr2NbCdHg structure (PBE).

Calculated values
The theoretical density comes out at 7.031 g/cm³. The spin magnetization is 0.00 Bohr magnetons per cell. The calculation puts the relative energy among the computed polymorphs at 0 meV per atom. As for the formation energy: 766 meV/atom.

a b c (Å): 5.066 5.066 5.415
angles (deg): 90.00 90.00 90.00
Atoms (fractional coordinates):
Zr 0.000 0.500 0.000
Zr 0.500 0.000 0.000
Nb 0.000 0.000 0.000
Cd 0.500 0.500 0.500
Hg 0.000 0.000 0.500


Entry from Alexandria: a geometry-optimized Li2InSb structure (PBE).

Calculated values
The theoretical density comes out at 4.926 g/cm³. The spin magnetization is 0.00 Bohr magnetons per cell. Its uncorrected formation energy is -0.35 eV per atom.

a b c (Å): 3.276 4.094 6.295
angles (deg): 90.00 90.56 90.00
Atoms (fractional coordinates):
Li 0.000 0.000 0.230
Li 0.000 0.000 0.770
In 0.500 0.500 0.500
Sb 0.500 0.500 0.000


Entry from Alexandria: a geometry-optimized Li4Mg10Pd structure (PBE).

Calculated values
The theoretical density comes out at 1.733 g/cm³. The spin magnetization is 0.00 Bohr magnetons per cell. As for the formation energy: 103 meV/atom.

a b c (Å): 8.137 8.137 8.137
angles (deg): 99.16 99.16 132.98
Atoms (fractional coordinates):
Li 0.103 0.301 0.404
Li 0.301 0.897 0.198
Li 0.699 0.103 0.802
Li 0.897 0.699 0.596
Mg 0.068 0.163 0.716
Mg 0.163 0.447 0.095
Mg 0.250 0.750 0.500
Mg 0.352 0.068 0.905
Mg 0.447 0.352 0.284
Mg 0.553 0.648 0.716
Mg 0.648 0.932 0.095
Mg 0.750 0.250 0.500
Mg 0.837 0.553 0.905
Mg 0.932 0.837 0.284
Pd 0.500 0.500 0.000


Entry from Alexandria: a geometry-optimized V2GeRu3 structure (PBE).

Calculated values
The theoretical density comes out at 9.667 g/cm³. The spin magnetization is 1.32 Bohr magnetons per cell. As for the formation energy: -307 meV/atom.

a b c (Å): 6.723 6.723 6.054
angles (deg): 90.00 90.00 143.15
Atoms (fractional coordinates):
V 0.000 0.000 0.000
V 0.000 0.000 0.500
V 0.334 0.666 0.000
V 0.666 0.334 0.000
Ge 0.338 0.662 0.500
Ge 0.662 0.338 0.500
Ru 0.168 0.832 0.256
Ru 0.168 0.832 0.744
Ru 0.500 0.500 0.250
Ru 0.500 0.500 0.750
Ru 0.832 0.168 0.256
Ru 0.832 0.168 0.744


Entry from Alexandria: a geometry-optimized SrCa2 structure (PBE).

Calculated values
The theoretical density comes out at 2.024 g/cm³. The spin magnetization is 0.00 Bohr magnetons per cell. The calculation puts the relative energy among the computed polymorphs at 1 meV per atom. As for the formation energy: 15 meV/atom.

a b c (Å): 4.092 5.448 12.348
angles (deg): 90.00 90.00 90.00
Atoms (fractional coordinates):
Sr 0.250 0.250 0.093
Sr 0.750 0.750 0.907
Ca 0.250 0.250 0.421
Ca 0.250 0.250 0.736
Ca 0.750 0.750 0.264
Ca 0.750 0.750 0.579


Question: Which value of spin magnetization does entry 1 give?
Answer: 0.00 Bohr magnetons per cell